Compound: YZr4Fe
Source: Alexandria
Functional: PBE
Structure: relaxed

a = 5.861 Å, b = 5.861 Å, c = 5.861 Å
α = 60.00°, β = 60.00°, γ = 60.00°
Fractional coordinates of all 6 atoms:
Y 0.000 0.000 0.000
Zr 0.124 0.625 0.625
Zr 0.625 0.124 0.625
Zr 0.625 0.625 0.124
Zr 0.625 0.625 0.625
Fe 0.250 0.250 0.250

## Properties
Theoretical density, g/cm3: 5.95
Symmetry: No. 216
Energy of formation from the pure elements, meV per atom: 525
DOS at the Fermi energy, states/eV/f.u.: 15.45